# 1
Compound: Pr8Ru2Rh
Source: Alexandria via LeMat-Bulk
Functional: PBE-GGA
Structure: relaxed

a b c (Å): 9.460 9.460 7.026
angles (deg): 104.66 104.66 31.08
Sites, in units of the cell vectors:
Pr (0.033, 0.033, 0.289)
Pr (0.203, 0.203, 0.821)
Pr (0.330, 0.330, 0.530)
Pr (0.406, 0.406, 0.047)
Pr (0.594, 0.594, 0.953)
Pr (0.670, 0.670, 0.470)
Pr (0.797, 0.797, 0.179)
Pr (0.967, 0.967, 0.711)
Ru (0.187, 0.187, 0.209)
Ru (0.813, 0.813, 0.791)
Rh (0.500, 0.500, 0.500)

Summary:
energy of formation from the pure elements = -185.6 kJ/mol of formula units
E_tot = -66.1 eV for the cell shown
energy above the lowest structure with this stoichiometry = 0.00 eV/f.u.
SG = C2/m

# 2
Compound: VGaSb2
Source: Alexandria via LeMat-Bulk
Functional: PBE-GGA
Structure: relaxed

a b c (Å): 10.421 10.421 10.421
angles (deg): 17.90 17.90 17.90
Sites, in units of the cell vectors:
V (0.000, 0.000, 0.000)
Ga (0.500, 0.500, 0.500)
Sb (0.398, 0.398, 0.398)
Sb (0.602, 0.602, 0.602)

Summary:
E_tot = -19.9 eV for the cell shown
SG = R-3m
formation energy without anion corrections = 0.47 eV/f.u.

# 3
Compound: Li2H4Ir
Source: Alexandria via LeMat-Bulk
Functional: PBE-GGA
Structure: relaxed

a b c (Å): 4.931 4.931 4.700
angles (deg): 117.14 117.14 34.17
Sites, in units of the cell vectors:
Li (0.168, 0.168, 0.158)
Li (0.832, 0.832, 0.842)
H (0.116, 0.116, 0.505)
H (0.380, 0.380, 0.100)
H (0.620, 0.620, 0.900)
H (0.884, 0.884, 0.495)
Ir (0.500, 0.500, 0.500)

Summary:
E_tot = -28.5 eV for the cell shown
energy above the lowest structure with this stoichiometry = 0.21 eV/f.u.
SG = C2/m

# 4
Compound: HfTiSi
Source: Alexandria via LeMat-Bulk
Functional: PBE-GGA
Structure: relaxed

a b c (Å): 6.405 4.969 5.419
angles (deg): 76.01 48.82 55.17
Sites, in units of the cell vectors:
Hf (0.000, 0.000, 0.000)
Hf (0.250, 0.250, 0.250)
Ti (0.345, 0.345, 0.655)
Ti (0.595, 0.595, 0.905)
Si (0.666, 0.666, 0.334)
Si (0.916, 0.916, 0.584)

Summary:
E_tot = -49.2 eV for the cell shown
SG = Fdd2
formation energy without anion corrections = -1.34 eV/f.u.